Record 1
Entry from the Alexandria database: CaHf3N4 after structural relaxation (GGA-PBE).

The structure in POSCAR format:
```
CaHf3N4
1.0
3.241 0.000 0.000
-1.620 2.807 0.000
0.000 0.000 21.755
N Hf Ca
8 6 2
direct
0.667 0.333 0.940
0.000 0.000 0.825
0.333 0.667 0.060
0.000 0.000 0.325
0.000 0.000 0.675
0.333 0.667 0.440
0.000 0.000 0.175
0.667 0.333 0.560
0.667 0.333 0.379
0.333 0.667 0.621
0.000 0.000 0.500
0.667 0.333 0.121
0.333 0.667 0.879
0.000 0.000 0.000
0.667 0.333 0.750
0.333 0.667 0.250
```

calculated total energy	-9.82	eV per atom
theoretical density	10.6	Mg/m³
formation energy from raw total energies	-1.68	eV per atom

---

Record 2
Entry from the Alexandria database: Ca3HfN after structural relaxation (GGA-PBE).

The structure in POSCAR format:
```
Ca3HfN
1.0
4.991 0.000 0.000
0.000 4.991 0.000
0.000 0.000 4.991
Ca Hf N
3 1 1
direct
0.500 0.000 0.000
0.000 0.500 0.000
0.000 0.000 0.500
0.500 0.500 0.500
0.000 0.000 0.000
```

calculated total energy	-4.70	eV per atom
theoretical density	4.2	Mg/m³
formation energy from raw total energies	0.16	eV per atom
relative energy among the computed polymorphs	0.0	meV per atom

---

Record 3
Entry from the Alexandria database: CaHfN3 after structural relaxation (GGA-PBE).

The structure in POSCAR format:
```
CaHfN3
1.0
4.008 0.000 0.000
0.000 4.008 0.000
0.000 0.000 4.008
N Hf Ca
3 1 1
direct
0.000 0.500 0.000
0.500 0.000 0.000
0.000 0.000 0.500
0.500 0.500 0.500
0.000 0.000 0.000
```

calculated total energy	-6.09	eV per atom
theoretical density	6.7	Mg/m³
formation energy from raw total energies	1.29	eV per atom

---

Record 4
Entry from the Alexandria database: CaHfN2 after structural relaxation (GGA-PBE).

The structure in POSCAR format:
```
CaHfN2
1.0
-0.353 3.119 -0.862
-2.019 -1.323 2.183
3.645 1.615 4.349
Ca Hf N
1 1 2
direct
0.000 0.500 0.500
0.000 0.500 0.000
0.333 0.167 0.209
0.667 0.833 0.791
```

calculated total energy	-8.49	eV per atom
theoretical density	7.6	Mg/m³
formation energy from raw total energies	-1.34	eV per atom

---

Record 5
Entry from the Alexandria database: CaHfN2 after structural relaxation (GGA-PBE).

The structure in POSCAR format:
```
CaHfN2
1.0
3.291 0.000 0.000
1.645 2.850 0.000
1.645 0.950 5.606
Hf N Ca
1 2 1
direct
0.500 0.500 0.500
0.763 0.763 0.712
0.237 0.237 0.288
0.000 0.000 0.000
```

calculated total energy	-8.75	eV per atom
theoretical density	7.8	Mg/m³
formation energy from raw total energies	-1.60	eV per atom

---

Record 6
Entry from the Alexandria database: CaHf4N6 after structural relaxation (GGA-PBE).

The structure in POSCAR format:
```
CaHf4N6
1.0
3.188 0.000 0.000
-1.594 5.312 0.000
0.000 0.000 16.616
N Hf Ca
12 8 2
direct
0.316 0.632 0.250
0.973 0.946 0.846
0.766 0.532 0.079
0.234 0.468 0.921
0.766 0.532 0.421
0.500 0.000 0.000
0.684 0.368 0.750
0.973 0.946 0.654
0.027 0.054 0.346
0.500 0.000 0.500
0.234 0.468 0.579
0.027 0.054 0.154
0.132 0.263 0.452
0.397 0.794 0.141
0.603 0.206 0.859
0.868 0.737 0.548
0.603 0.206 0.641
0.397 0.794 0.359
0.132 0.263 0.048
0.868 0.737 0.952
0.347 0.694 0.750
0.653 0.306 0.250
```

calculated total energy	-10.00	eV per atom
theoretical density	9.9	Mg/m³
formation energy from raw total energies	-1.66	eV per atom

---

Record 7
Entry from the Alexandria database: CaHf2N after structural relaxation (GGA-PBE).

The structure in POSCAR format:
```
CaHf2N
1.0
6.669 0.000 0.000
0.000 6.669 0.000
3.334 3.334 4.645
Hf N Ca
4 2 2
direct
0.375 0.584 0.750
0.875 0.666 0.750
0.334 0.625 0.250
0.416 0.125 0.250
0.500 0.500 0.000
0.250 0.750 0.500
0.750 0.250 0.500
0.000 0.000 0.000
```

calculated total energy	-7.93	eV per atom
theoretical density	6.6	Mg/m³
formation energy from raw total energies	-0.37	eV per atom

---

Record 8
Entry from the Alexandria database: CaHfN3 after structural relaxation (GGA-PBE).

The structure in POSCAR format:
```
CaHfN3
1.0
-3.101 2.798 0.145
-2.004 -2.064 -3.032
-1.958 -2.319 2.873
N Hf Ca
3 1 1
direct
0.000 0.500 0.000
0.500 0.000 0.000
0.000 0.000 0.500
0.000 0.000 0.000
0.500 0.500 0.500
```

calculated total energy	-7.72	eV per atom
theoretical density	5.9	Mg/m³
formation energy from raw total energies	-0.34	eV per atom